The following is a DFT calculation (PBE) of a relaxed structure of Mg2CS.

abc: 4.317 4.317 4.317
angles: 60.00 60.00 60.00
Atoms (fractional coordinates):
C 0.000 0.000 0.000
S 0.500 0.500 0.500
Mg 0.250 0.250 0.250
Mg 0.750 0.750 0.750

Properties
- uncorrected formation energy (eV/f.u.) = 1.99
- crystal system = cubic
- magnetic moment (μB per formula unit) = 0.00
- raw total energy (eV per atom) = -3.64
- energy above the most stable polymorph in this dataset (meV/atom) = 277.9